The following is a GGA-PBE calculation of a relaxed structure of HoRhSe2, from Alexandria via LeMat-Bulk.

For the total magnetization, the calculation gives 0.0 Bohr magnetons per cell. The calculation puts the final energy at -0.19142 Ha/atom. The value obtained for the energy relative to the elements, uncorrected is -187 kJ/mol of formula units. As for the density of states at the Fermi level: 0.279 states/eV/atom. For the volume, the calculation gives 99.9 Å³/cell.

a = 3.759 Å, b = 3.759 Å, c = 8.452 Å
α = 77.15°, β = 77.15°, γ = 60.00°
Fractional coordinates of all 4 atoms:
Rh 0.500 0.500 0.500
Se 0.885 0.885 0.344
Se 0.115 0.115 0.656
Ho 0.000 0.000 0.000

---

The following is a GGA-PBE calculation of a relaxed structure of InSnPd4, from Alexandria via LeMat-Bulk.

For the total magnetization, the calculation gives 0.0 Bohr magnetons per cell. The calculation puts the final energy at -0.18477 Ha/atom. The calculation puts the calculated formation energy at -0.442 eV/atom. As for the density of states at the Fermi level: 0.514 states/eV/atom. For the volume, the calculation gives 205.0 Å³/cell. Its distance to the lowest polymorph of the same formula is 30 meV/atom.

a = 4.924 Å, b = 8.635 Å, c = 4.924 Å
α = 90.00°, β = 101.68°, γ = 90.00°
Fractional coordinates of all 12 atoms:
Pd 0.000 0.163 0.500
Sn 0.500 0.500 0.000
Pd 0.000 0.336 0.000
Pd 0.500 0.337 0.500
Pd 0.500 0.164 0.000
Pd 0.500 0.663 0.500
In 0.000 0.500 0.500
Sn 0.000 0.000 0.000
Pd 0.500 0.836 0.000
In 0.500 0.000 0.500
Pd 0.000 0.664 0.000
Pd 0.000 0.837 0.500

---

The following is a GGA-PBE calculation of a relaxed structure of Ce4AsS2N, from Alexandria via LeMat-Bulk.

For the total magnetization, the calculation gives 6.5 Bohr magnetons per cell. The calculation puts the final energy at -0.26638 Ha/atom. The value obtained for the energy relative to the elements, uncorrected is -1256 kJ/mol of formula units. As for the density of states at the Fermi level: 2.482 states/eV/atom. For the volume, the calculation gives 374.2 Å³/cell.

a = 3.990 Å, b = 6.909 Å, c = 14.176 Å
α = 90.00°, β = 90.00°, γ = 106.78°
Fractional coordinates of all 16 atoms:
As 0.101 0.203 0.750
Ce 0.726 0.452 0.875
Ce 0.000 0.000 0.500
N 0.169 0.339 0.250
Ce 0.726 0.452 0.625
Ce 0.427 0.855 0.750
Ce 0.573 0.145 0.250
S 0.362 0.725 0.559
Ce 0.274 0.548 0.375
S 0.638 0.275 0.059
Ce 0.274 0.548 0.125
S 0.362 0.725 0.941
N 0.831 0.661 0.750
S 0.638 0.275 0.441
As 0.899 0.797 0.250
Ce 0.000 0.000 0.000

---

The following is a GGA-PBE calculation of a relaxed structure of PuHgRuO6, from Alexandria via LeMat-Bulk.

For the total magnetization, the calculation gives 0.2 Bohr magnetons per cell. The calculation puts the final energy at -0.27194 Ha/atom. The value obtained for the energy relative to the elements, uncorrected is -1249 kJ/mol of formula units. As for the density of states at the Fermi level: 0.788 states/eV/atom. For the volume, the calculation gives 252.2 Å³/cell.

a = 5.343 Å, b = 5.343 Å, c = 10.198 Å
α = 90.00°, β = 90.00°, γ = 120.00°
Fractional coordinates of all 18 atoms:
O 0.352 0.363 0.359
O 0.011 0.363 0.141
O 0.637 0.648 0.141
O 0.637 0.989 0.359
Ru 0.333 0.667 0.250
Pu 0.333 0.667 0.750
Hg 0.000 0.000 0.500
O 0.352 0.989 0.141
O 0.989 0.637 0.859
Pu 0.667 0.333 0.250
O 0.363 0.352 0.859
O 0.648 0.011 0.859
Hg 0.000 0.000 0.000
O 0.011 0.648 0.359
Ru 0.667 0.333 0.750
O 0.648 0.637 0.641
O 0.989 0.352 0.641
O 0.363 0.011 0.641

---

The following is a GGA-PBE calculation of a relaxed structure of MnFeB3, from Alexandria via LeMat-Bulk.

For the total magnetization, the calculation gives 0.0 Bohr magnetons per cell. The calculation puts the final energy at -0.23473 Ha/atom. The calculation puts the calculated formation energy at 1.146 eV/atom. As for the density of states at the Fermi level: 2.024 states/eV/atom. For the volume, the calculation gives 49.3 Å³/cell.

a = 3.668 Å, b = 3.668 Å, c = 3.668 Å
α = 90.00°, β = 90.00°, γ = 90.00°
Fractional coordinates of all 5 atoms:
B 0.000 0.000 0.500
Fe 0.500 0.500 0.500
B 0.000 0.500 0.000
Mn 0.000 0.000 0.000
B 0.500 0.000 0.000

---

The following is a GGA-PBE calculation of a relaxed structure of Tm2Bi2H, from Alexandria via LeMat-Bulk.

For the total magnetization, the calculation gives 0.0 Bohr magnetons per cell. The calculation puts the final energy at -0.16607 Ha/atom. As for the density of states at the Fermi level: 0.211 states/eV/atom. For the volume, the calculation gives 261.7 Å³/cell.

a = 6.238 Å, b = 7.809 Å, c = 6.601 Å
α = 114.97°, β = 89.99°, γ = 113.53°
Fractional coordinates of all 10 atoms:
Bi 0.287 0.574 0.287
H 0.608 0.215 0.107
H 0.392 0.785 0.893
Bi 0.000 0.000 0.254
Tm 0.500 0.000 0.749
Tm 0.781 0.562 0.281
Bi 0.713 0.426 0.713
Tm 0.500 0.000 0.251
Bi 0.000 0.000 0.746
Tm 0.219 0.438 0.719

---

The following is a GGA-PBE calculation of a relaxed structure of La14ErSn, from Alexandria via LeMat-Bulk.

For the total magnetization, the calculation gives 0.0 Bohr magnetons per cell. The calculation puts the final energy at -0.18179 Ha/atom. The calculation puts the calculated formation energy at -0.100 eV/atom. As for the density of states at the Fermi level: 1.419 states/eV/atom. For the volume, the calculation gives 557.9 Å³/cell.

a = 7.316 Å, b = 7.316 Å, c = 10.424 Å
α = 90.00°, β = 90.00°, γ = 90.02°
Fractional coordinates of all 16 atoms:
La 0.618 0.382 0.758
La 0.618 0.868 0.757
La 0.618 0.382 0.242
La 0.618 0.868 0.243
La 0.375 0.125 0.000
La 0.375 0.125 0.500
Sn 0.375 0.625 0.000
La 0.875 0.625 0.000
La 0.132 0.868 0.757
Er 0.875 0.125 0.000
La 0.376 0.624 0.500
La 0.875 0.625 0.500
La 0.132 0.868 0.243
La 0.132 0.382 0.243
La 0.132 0.382 0.757
La 0.873 0.127 0.500

---

The following is a GGA-PBE calculation of a relaxed structure of CeHo4Ir5, from Alexandria via LeMat-Bulk.

For the total magnetization, the calculation gives 0.0 Bohr magnetons per cell. The calculation puts the final energy at -0.28131 Ha/atom. The calculation puts the calculated formation energy at -0.800 eV/atom. As for the density of states at the Fermi level: 0.777 states/eV/atom. For the volume, the calculation gives 202.0 Å³/cell.

a = 3.386 Å, b = 3.386 Å, c = 17.619 Å
α = 90.00°, β = 90.00°, γ = 90.00°
Fractional coordinates of all 10 atoms:
Ho 0.000 0.000 0.599
Ir 0.500 0.500 0.898
Ir 0.500 0.500 0.699
Ir 0.500 0.500 0.102
Ir 0.500 0.500 0.301
Ho 0.000 0.000 0.203
Ho 0.000 0.000 0.797
Ir 0.500 0.500 0.500
Ho 0.000 0.000 0.401
Ce 0.000 0.000 0.000